DFT (PBE) results for an optimized crystal structure of Pr4GaSeCl2.

a = 4.3043 Å, b = 7.2906 Å, c = 7.4536 Å
α = 69.87°, β = 90.00°, γ = 90.00°
Fractional positions:
1 Pr 0.0000 0.7351 0.7623
2 Pr 0.0000 0.2649 0.2377
3 Pr 0.5000 0.7335 0.2462
4 Pr 0.5000 0.2665 0.7538
5 Ga 0.5000 0.5000 0.0000
6 Se 0.0000 0.5000 0.5000
7 Cl 0.0000 0.0000 0.0000
8 Cl 0.5000 0.0000 0.5000

Computed properties:
Density, Mg/m³: 5.92
Formation energy from raw total energies, eV/atom: -1.346
SG: P2/m, No. 10